Below is crystalline Rb2TiCoBr6 at its relaxed geometry, with properties calculated at the PBE level.

Structure (CIF):
```
data_Rb2TiCoBr6
_chemical_formula_sum 'Rb2 Ti1 Co1 Br6'
_cell_length_a 7.4593
_cell_length_b 7.4593
_cell_length_c 7.4600
_cell_angle_alpha 60.00
_cell_angle_beta 60.00
_cell_angle_gamma 90.00
_space_group_name_H-M_alt 'P 1'
_space_group_IT_number 1
_space_group_name_Hall 'P 1'
loop_
_atom_site_label
_atom_site_type_symbol
_atom_site_fract_x
_atom_site_fract_y
_atom_site_fract_z
Br1 Br 0.7495 0.7495 0.0000
Rb1 Rb 0.2500 0.7500 0.5000
Br2 Br 0.2507 0.2507 0.4986
Br3 Br 0.7493 0.7493 0.5014
Br4 Br 0.7495 0.2505 0.0000
Co1 Co 0.0000 0.0000 0.0000
Br5 Br 0.2505 0.2505 0.0000
Rb2 Rb 0.7500 0.2500 0.5000
Br6 Br 0.2505 0.7495 0.0000
Ti1 Ti 0.5000 0.5000 0.0000
```

Calculated total energy (eV per atom): -3.783

Below is crystalline RbTlCo2Br8 at its relaxed geometry, with properties calculated at the PBE level.

Structure (CIF):
```
data_RbTlCo2Br8
_chemical_formula_sum 'Rb1 Tl1 Co2 Br8'
_cell_length_a 7.1188
_cell_length_b 7.1188
_cell_length_c 10.9111
_cell_angle_alpha 70.96
_cell_angle_beta 70.96
_cell_angle_gamma 60.00
_space_group_name_H-M_alt 'P 1'
_space_group_IT_number 1
_space_group_name_Hall 'P 1'
loop_
_atom_site_label
_atom_site_type_symbol
_atom_site_fract_x
_atom_site_fract_y
_atom_site_fract_z
Br1 Br 0.0617 0.4477 0.8062
Co1 Co 0.7565 0.7565 0.7304
Rb1 Rb 0.5000 0.5000 0.5000
Br2 Br 0.8329 0.8329 0.5013
Br3 Br 0.4477 0.6844 0.8062
Br4 Br 0.6844 0.0617 0.8062
Br5 Br 0.9383 0.5523 0.1938
Br6 Br 0.3156 0.9383 0.1938
Tl1 Tl 0.0000 0.0000 0.0000
Br7 Br 0.5523 0.3156 0.1938
Co2 Co 0.2435 0.2435 0.2696
Br8 Br 0.1671 0.1671 0.4987
```

Calculated total energy (eV per atom): -3.205

Below is crystalline RbTl2CoBr6 at its relaxed geometry, with properties calculated at the PBE level.

Structure (CIF):
```
data_RbTl2CoBr6
_chemical_formula_sum 'Rb2 Tl4 Co2 Br12'
_cell_length_a 7.3875
_cell_length_b 8.5185
_cell_length_c 10.9037
_cell_angle_alpha 90.00
_cell_angle_beta 86.70
_cell_angle_gamma 90.00
_space_group_name_H-M_alt 'P 1'
_space_group_IT_number 1
_space_group_name_Hall 'P 1'
loop_
_atom_site_label
_atom_site_type_symbol
_atom_site_fract_x
_atom_site_fract_y
_atom_site_fract_z
Tl1 Tl 0.0259 0.9500 0.2655
Br1 Br 0.1435 0.2706 0.0902
Rb1 Rb 0.0000 0.5000 0.5000
Br2 Br 0.3899 0.9122 0.7031
Br3 Br 0.6435 0.2294 0.5902
Br4 Br 0.8899 0.5878 0.2031
Co1 Co 0.0000 0.5000 0.0000
Tl2 Tl 0.5259 0.5500 0.7655
Br5 Br 0.7768 0.8495 0.5180
Br6 Br 0.8565 0.7294 0.9098
Br7 Br 0.2232 0.1505 0.4820
Tl3 Tl 0.9741 0.0500 0.7345
Br8 Br 0.3565 0.7706 0.4098
Rb2 Rb 0.5000 0.0000 0.0000
Tl4 Tl 0.4741 0.4500 0.2345
Br9 Br 0.2768 0.6505 0.0180
Br10 Br 0.7232 0.3495 0.9820
Br11 Br 0.1101 0.4122 0.7969
Co2 Co 0.5000 0.0000 0.5000
Br12 Br 0.6101 0.0878 0.2969
```

Calculated total energy (eV per atom): -3.057